# MnCuO3 PBE+U optimized geometry
data_MnCuO3
_cell_length_a 3.701
_cell_length_b 3.701
_cell_length_c 3.701
_cell_angle_alpha 90.00
_cell_angle_beta 90.00
_cell_angle_gamma 90.00
_space_group_name_H-M_alt 'P m -3 m'
_space_group_IT_number 221
_space_group_name_Hall '-P 4 2 3'
loop_
_atom_site_label
_atom_site_type_symbol
_atom_site_fract_x
_atom_site_fract_y
_atom_site_fract_z
_atom_site_occupancy
Mn1 Mn 0.000 0.000 0.000 1
Cu1 Cu 0.500 0.500 0.500 1
O1 O 0.000 0.500 0.500 1
# D(E_F) (states/eV/atom): 0.56
# Final energy (eV per atom): -5.731